Here is crystalline LiAgMo2Br at its relaxed geometry from Alexandria via LeMat-Bulk. Energies are from PBE-GGA.

Unit cell a=4.6437 b=4.6437 c=5.0879 alpha=90.00 beta=90.00 gamma=90.00
Fractional coordinates of all 5 atoms:
Mo1 0.5000 0.0000 0.0000
Ag1 0.0000 0.0000 0.5000
Br1 0.0000 0.0000 0.0000
Li1 0.5000 0.5000 0.5000
Mo2 0.0000 0.5000 0.0000

- Space-group type: P4/mmm (123)
- M_tot: 0.0 μB/cell
- Energy: -20.648 eV for the cell shown
- ΔE_f (raw): 7.45 eV/f.u.

=====

Here is crystalline KCoPt at its relaxed geometry from Alexandria via LeMat-Bulk. Energies are from PBE-GGA.

Unit cell a=4.7521 b=4.7521 c=4.7521 alpha=60.00 beta=60.00 gamma=60.00
Last column: magnetic moment on the atom in μB.
Fractional coordinates of all 3 atoms:
Co1 0.5000 0.5000 0.5000  2.02
Pt1 0.0000 0.0000 0.0000  0.08
K1 0.7500 0.7500 0.7500  0.00

- Space-group type: F-43m (216)
- M_tot: 2.2 μB/cell
- Distance to the lowest polymorph of the same formula: 1483.2 meV per atom
- Energy: -9.145 eV for the cell shown

=====

| no. | DOS at the Fermi energy (states/eV/f.u.) |
| --- | --- |
| 1 | 6.0 |
| 2 | 7.7 |